A plane-wave DFT calculation with PBE+U was carried out for VCuAg2O4 after structural relaxation.

Values from the calculation:
- V (Å³/cell) = 112.6
- calculated total energy (eV per atom) = -5.56

The structure in CIF format:
```
data_VCuAg2O4
_space_group_name_H-M_alt 'P 1'
_space_group_IT_number 1
_space_group_name_Hall 'P 1'
_cell_length_a 5.082
_cell_length_b 4.994
_cell_length_c 5.597
_cell_angle_alpha 109.20
_cell_angle_beta 118.75
_cell_angle_gamma 94.62
loop_
_atom_site_label
_atom_site_type_symbol
_atom_site_fract_x
_atom_site_fract_y
_atom_site_fract_z
_atom_site_occupancy
Ag1 Ag 0.528 0.988 0.955 1
V1 V 0.733 0.764 0.483 1
Cu1 Cu 0.952 0.393 0.982 1
O1 O 0.669 0.614 0.700 1
O2 O 0.378 0.796 0.220 1
O3 O 0.031 0.114 0.718 1
Ag2 Ag 0.230 0.192 0.429 1
O4 O 0.866 0.525 0.287 1
```